A plane-wave DFT calculation with PBE was carried out for a relaxed structure of PmAs2W.

The value obtained for the formation energy is -221.1 meV/atom. The calculation puts the volume at 19.108 A^3/atom. For the total magnetization, the calculation gives 0.0 μB per formula unit. The calculation puts the density of states at the Fermi level at 0.99 states/eV/atom.

It has space group Fm-3m (No. 225), with a = 6.737 Å, b = 6.737 Å, c = 6.737 Å, α = 90.00°, β = 90.00° and γ = 90.00°. The distinct sites, in fractional coordinates, are Pm at (0.000, 0.000, 0.000), As at (0.250, 0.250, 0.250) and W at (0.000, 0.000, 0.500).



A plane-wave DFT calculation with PBE was carried out for a relaxed structure of U2BiSb.

Its uncorrected formation energy is 6 meV per atom. The calculation puts the volume at 30.866 A^3/atom. For the total magnetization, the calculation gives 5.6 μB per formula unit. The calculation puts the density of states at the Fermi level at 2.71 states/eV/atom.

It has space group R-3m (No. 166, hexagonal axes), with a = 4.5647 Å, b = 4.5647 Å, c = 20.5262 Å, α = 90.00°, β = 90.00° and γ = 120.00°. The distinct sites, in fractional coordinates, are U at (0.0000, 0.0000, 0.2467), Bi at (0.0000, 0.0000, 0.0000) and Sb at (0.0000, 0.0000, 0.5000).



A plane-wave DFT calculation with PBE was carried out for a relaxed structure of YHo3Er4S8.

Its uncorrected formation energy is -1962 meV per atom. The calculation puts the volume at 20.637 A^3/atom. For the total magnetization, the calculation gives 0.0 μB per formula unit. The calculation puts the density of states at the Fermi level at 0.56 states/eV/atom.

It has space group R-3m (No. 166, hexagonal axes), with a = 7.7563 Å, b = 7.7563 Å, c = 19.0137 Å, α = 90.00°, β = 90.00° and γ = 120.00°. The distinct sites, in fractional coordinates, are Y at (0.0000, 0.0000, 0.0000), Ho at (0.0000, 0.5000, 0.0000), Er at (0.0000, 0.0000, 0.5000), Er at (0.0000, 0.5000, 0.5000), S at (0.0000, 0.0000, 0.2493) and S at (0.0015, 0.5007, 0.2489).



A plane-wave DFT calculation with PBE was carried out for a relaxed structure of LiCa2NiAs2.

The value obtained for the formation energy is -858.1 meV/atom. The calculation puts the volume at 19.733 A^3/atom. For the total magnetization, the calculation gives 0.6 μB per formula unit. The calculation puts the density of states at the Fermi level at 0.54 states/eV/atom.

It has space group Ibam (No. 72), with a = 5.916 Å, b = 13.685 Å, c = 5.849 Å, α = 90.00°, β = 90.00° and γ = 90.00°. The distinct sites, in fractional coordinates, are Li at (0.000, 0.000, 0.250), Ca at (0.246, 0.339, 0.000), Ni at (0.000, 0.500, 0.250) and As at (0.239, 0.391, 0.500).



no.,calculated total energy (eV per atom)
1,-6.97
2,-7.64
3,-6.43
4,-4.36